The following is a GGA-PBEsol calculation of a relaxed LiFeO2 crystal, from Alexandria via LeMat-Bulk. Values from VASP.

Cell and atoms, written as Quantum ESPRESSO input:
```
&SYSTEM
  ibrav = 0, nat = 20, ntyp = 3
/
ATOMIC_SPECIES
Li 6.94 Li.upf
O 16.00 O.upf
Fe 55.84 Fe.upf
ATOMIC_POSITIONS angstrom
Li 2.9660 3.7452 4.0767
Li 5.3612 3.3725 2.8330
Li 2.9072 2.9233 1.5505
O 3.6723 5.3157 5.2507
O 2.0243 1.4139 0.4394
O 3.6926 4.5382 2.3919
Fe 0.4565 2.4618 0.0211
Fe 4.5603 5.1700 0.7732
O 6.3029 5.7038 6.4702
Li 3.7071 1.0971 3.4337
O 6.9776 2.9665 5.7954
O 1.9685 2.0651 3.1436
Fe 1.2453 0.6905 2.1055
O 4.6346 2.5795 4.5177
O 6.3587 5.0526 3.7661
Fe 3.7669 1.9477 6.1365
O 1.3497 4.1512 1.1142
O 4.6549 1.8020 1.6590
Li 5.4200 4.1944 5.3591
Fe 7.0819 6.4272 4.8041
CELL_PARAMETERS angstrom
4.9515 0.0344 0.0175
0.9130 4.9235 0.0421
2.4627 2.1597 6.8500
```

Computed properties:
Energy relative to the elements, uncorrected   -6.21 eV per formula unit
Mass density   4.7 g cm⁻³


The following is a GGA-PBEsol calculation of a relaxed LiFeO2 crystal, from Alexandria via LeMat-Bulk. Values from VASP.

Cell and atoms, written as Quantum ESPRESSO input:
```
&SYSTEM
  ibrav = 0, nat = 8, ntyp = 3
/
ATOMIC_SPECIES
O 16.00 O.upf
Fe 55.84 Fe.upf
Li 6.94 Li.upf
ATOMIC_POSITIONS angstrom
O 1.8817 2.2315 4.1629
O 0.8357 1.7549 1.7839
Fe 1.4332 0.6531 3.2597
Fe -1.0826 1.8034 2.4921
Li 0.1017 2.3431 5.1857
Li 0.2489 0.1134 0.5661
O -0.4851 0.7016 3.9679
O -1.5311 0.2250 1.5889
CELL_PARAMETERS angstrom
-0.1129 2.6967 -0.4906
-3.7472 0.1378 1.6200
2.2807 1.0393 5.1871
```

Computed properties:
Energy relative to the elements, uncorrected   -6.20 eV per formula unit
Mass density   4.9 g cm⁻³


The following is a GGA-PBEsol calculation of a relaxed Li5Fe5O12 crystal, from Alexandria via LeMat-Bulk. Values from VASP.

Cell and atoms, written as Quantum ESPRESSO input:
```
&SYSTEM
  ibrav = 0, nat = 22, ntyp = 3
/
ATOMIC_SPECIES
O 16.00 O.upf
Fe 55.84 Fe.upf
Li 6.94 Li.upf
ATOMIC_POSITIONS angstrom
O -2.8621 0.1394 3.2552
O -0.7490 -2.0436 3.7587
O 3.5025 3.0122 7.8325
O -1.0678 0.3469 5.9942
O -0.6613 2.8585 6.5688
Fe -1.5984 3.5575 5.0864
O 1.6975 2.8155 5.0907
Li -2.7458 2.1134 3.2843
Li -0.5312 5.0846 6.8694
O -0.6403 2.2990 4.0558
Fe -0.4320 -1.9159 1.9238
O 1.1426 3.2148 9.1965
Fe 0.3149 1.5811 5.5425
Fe -2.3075 0.0214 1.4767
Li 1.1704 -1.9330 4.2184
O 1.3892 5.1950 7.3286
Li -4.2437 2.0215 1.0151
O -0.5023 -0.0634 1.8910
O 1.2698 0.8632 7.0292
Li 3.3861 1.0391 7.8027
Fe 2.2277 -0.3948 5.9985
O 1.2914 0.3041 4.5162
CELL_PARAMETERS angstrom
-4.2503 2.0283 1.0136
1.4976 -3.9092 2.3838
3.3799 5.0459 7.6870
```

Computed properties:
Energy relative to the elements, uncorrected   -34.62 eV per formula unit
Mass density   4.4 g cm⁻³


- mass density of number 1 (LiFeO2)?
  4.7 g cm⁻³


- Look up the energy relative to the elements, uncorrected of the second one.
  -6.20 eV per formula unit


- Which of these has the highest energy relative to the elements, uncorrected?
  number 2


- Among the records above, which one has the highest energy relative to the elements, uncorrected?
  number 2